1.
! PBE TmMgN, optimized geometry; values from VASP
! symmetry = Pmmn (59)
! DOS(E_F) = 0.276 states/eV per atom
&SYSTEM
  ibrav = 0, nat = 12, ntyp = 3
/
ATOMIC_SPECIES
Tm 168.93 Tm.upf
Mg 24.30 Mg.upf
N 14.01 N.upf
ATOMIC_POSITIONS angstrom
Tm -5.641 2.940 4.472
Tm -7.145 1.867 1.690
Tm -4.106 3.229 1.520
Tm -2.602 4.302 4.301
Mg -7.909 4.219 6.863
Mg -4.876 0.587 -0.700
Mg -1.838 1.950 -0.872
Mg -4.871 5.582 6.692
N -5.092 1.505 2.784
N -7.694 3.302 3.378
N -4.655 4.664 3.208
N -2.053 2.867 2.613
CELL_PARAMETERS angstrom
-1.110 2.196 -2.228
-6.078 -2.725 0.341
-2.560 6.697 7.878

=====

2.
! PBE Tm5MgN6, optimized geometry; values from VASP
! symmetry = C2/m (12)
! DOS(E_F) = 0.568 states/eV per atom
&SYSTEM
  ibrav = 0, nat = 12, ntyp = 3
/
ATOMIC_SPECIES
Mg 24.30 Mg.upf
Tm 168.93 Tm.upf
N 14.01 N.upf
ATOMIC_POSITIONS angstrom
Mg 0.000 0.000 0.000
Tm -2.724 3.913 0.435
Tm -2.904 1.054 -1.364
Tm -2.572 0.898 1.991
Tm -2.752 -1.949 0.185
Tm -2.419 -2.118 3.547
N -1.380 1.972 0.212
N -3.918 2.869 2.198
N -1.055 1.779 3.551
N -4.088 0.016 0.432
N -1.226 -1.073 1.784
N -3.764 -0.177 3.770
CELL_PARAMETERS angstrom
-3.056 4.048 -2.910
-2.601 -4.942 1.730
0.513 2.690 5.162

=====

3.
! PBE Tm2Mg3UN6, optimized geometry; values from VASP
! symmetry = C2/m (12)
&SYSTEM
  ibrav = 0, nat = 12, ntyp = 4
/
ATOMIC_SPECIES
Tm 168.93 Tm.upf
Mg 24.30 Mg.upf
U 238.03 U.upf
N 14.01 N.upf
ATOMIC_POSITIONS angstrom
Tm -0.004 3.352 0.000
Tm 2.905 1.672 0.000
Mg -1.943 3.355 2.601
Mg 3.877 -0.006 2.601
Mg 0.967 1.674 2.601
U 0.000 0.000 0.000
N 2.855 1.757 3.939
N 1.990 3.447 1.215
N -0.921 1.592 1.263
N 0.095 3.352 3.939
N -0.056 -0.098 3.988
N 1.839 -0.003 1.263
CELL_PARAMETERS angstrom
5.807 -0.004 0.000
-2.905 5.028 0.000
-0.967 -1.675 5.203

=====

4.
! PBE Y2TmMgN, optimized geometry; values from VASP
! symmetry = P4/mmm (123)
! DOS(E_F) = 1.020 states/eV per atom
&SYSTEM
  ibrav = 0, nat = 5, ntyp = 4
/
ATOMIC_SPECIES
Y 88.91 Y.upf
Tm 168.93 Tm.upf
Mg 24.30 Mg.upf
N 14.01 N.upf
ATOMIC_POSITIONS angstrom
Y 0.000 0.000 2.457
Y 0.000 2.457 0.000
Tm 2.369 0.000 0.000
Mg 2.369 2.457 2.457
N 0.000 0.000 0.000
CELL_PARAMETERS angstrom
4.738 0.000 0.000
0.000 4.915 0.000
0.000 0.000 4.915

=====

5.
! PBE TmMgZr2N4, optimized geometry; values from VASP
! symmetry = P2/m (10)
! DOS(E_F) = 0.154 states/eV per atom
&SYSTEM
  ibrav = 0, nat = 8, ntyp = 4
/
ATOMIC_SPECIES
Tm 168.93 Tm.upf
Mg 24.30 Mg.upf
Zr 91.22 Zr.upf
N 14.01 N.upf
ATOMIC_POSITIONS angstrom
Tm 0.000 0.000 0.000
Mg 1.636 2.819 0.047
Zr 1.636 -0.989 2.669
Zr 0.000 1.831 2.717
N 1.636 0.929 1.408
N 1.636 2.732 4.025
N 0.000 -0.065 3.969
N 0.000 3.726 1.464
CELL_PARAMETERS angstrom
3.273 0.000 0.000
0.000 5.639 0.094
0.000 -1.977 5.339

=====

6.
! PBE Mg4UN4, optimized geometry; values from VASP
! symmetry = C2/m (12)
! DOS(E_F) = 0.409 states/eV per atom
&SYSTEM
  ibrav = 0, nat = 9, ntyp = 3
/
ATOMIC_SPECIES
Mg 24.30 Mg.upf
U 238.03 U.upf
N 14.01 N.upf
ATOMIC_POSITIONS angstrom
Mg -2.863 -2.511 -2.048
Mg -4.133 -5.145 -3.594
Mg -3.447 -6.694 -0.895
Mg -2.177 -4.060 0.652
U -1.553 0.049 -0.608
N -1.835 -2.039 -0.056
N -4.475 -7.166 -2.886
N -5.565 -6.130 -0.018
N -0.745 -3.075 -2.924
CELL_PARAMETERS angstrom
-3.106 0.099 -1.216
-0.219 -3.501 -4.302
-2.985 -5.803 2.576

=====

7.
! PBE Mg5UN5, optimized geometry; values from VASP
! symmetry = C2/m (12)
! DOS(E_F) = 0.163 states/eV per atom
&SYSTEM
  ibrav = 0, nat = 11, ntyp = 3
/
ATOMIC_SPECIES
Mg 24.30 Mg.upf
U 238.03 U.upf
N 14.01 N.upf
ATOMIC_POSITIONS angstrom
Mg 2.238 1.893 1.438
Mg 2.238 1.840 4.719
Mg 0.000 0.089 3.165
Mg 0.000 3.141 -0.193
Mg 0.000 3.088 3.088
U 0.000 0.000 0.000
N 2.238 3.352 -0.169
N 2.238 3.335 3.059
N 2.238 0.000 0.000
N 0.000 1.645 1.467
N 0.000 1.628 4.695
CELL_PARAMETERS angstrom
4.476 0.000 0.000
-2.238 4.802 -1.803
0.000 0.179 6.329

=====

8.
! PBE Mg2UN3, optimized geometry; values from VASP
! symmetry = R-3c (167)
! DOS(E_F) = 0.217 states/eV per atom
&SYSTEM
  ibrav = 0, nat = 12, ntyp = 3
/
ATOMIC_SPECIES
Mg 24.30 Mg.upf
U 238.03 U.upf
N 14.01 N.upf
ATOMIC_POSITIONS angstrom
Mg 1.176 0.783 3.909
Mg 2.249 1.498 1.669
Mg 5.673 3.779 7.248
Mg 4.601 3.065 9.487
U 3.425 2.281 5.578
U 0.000 0.000 0.000
N 5.638 2.692 5.164
N 2.975 4.165 4.359
N 3.874 0.398 6.798
N 3.456 3.422 7.562
N 1.212 1.870 5.992
N 3.394 1.141 3.594
CELL_PARAMETERS angstrom
4.959 0.000 2.375
1.911 4.576 2.375
-0.020 -0.013 6.407

=====

| no. | energy (eV per atom) | ρ (g/cm³) |
| --- | --- | --- |
| 1 | -5.6886 | 5.84 |
| 2 | -7.6959 | 9.70 |
| 3 | -7.5569 | 8.01 |
| 4 | -6.1908 | 5.59 |
| 5 | -8.6115 | 7.23 |
| 6 | -6.5681 | 5.51 |
| 7 | -6.4870 | 5.19 |
| 8 | -7.5597 | 7.49 |